Here is crystalline BeCd at its relaxed geometry from Alexandria via LeMat-Bulk. Energies are from PBE.

a = 10.5953 Å, b = 2.8448 Å, c = 6.2171 Å
α = 90.00°, β = 94.58°, γ = 90.00°
Sites, in units of the cell vectors:
1 Be 0.0000 0.0000 0.0000
2 Be 0.0616 0.0000 0.6732
3 Be 0.4091 0.0000 0.7629
4 Be 0.5000 0.5000 0.0000
5 Be 0.5616 0.5000 0.6732
6 Be 0.9091 0.5000 0.7629
7 Cd 0.2198 0.5000 0.9952
8 Cd 0.2399 0.5000 0.5033
9 Cd 0.4622 0.0000 0.3273
10 Cd 0.7198 0.0000 0.9952
11 Cd 0.7399 0.0000 0.5033
12 Cd 0.9622 0.5000 0.3273

Output
**Magnetic moment**: 0.000 Bohr magnetons per cell
**Offset from the most stable computed form**: 0.084 eV/atom
**Formation enthalpy at 0 K**: 0.355 eV/atom
**Crystal system**: monoclinic